BaNa2FeO4 PBE with a Hubbard U optimized geometry; total moment = 4.1 μB/f.u.; raw total energy = -43.09 eV per cell; SG = I-4, No. 82
1.0
5.631 -0.129 -0.198
-2.516 5.039 0.198
-2.516 -1.847 4.693
O Na Ba Fe
4 2 1 1
direct
0.954 0.187 0.603
0.584 0.397 0.351
0.416 0.767 0.813
0.046 0.649 0.233
0.000 0.000 0.000
0.500 0.750 0.250
0.500 0.250 0.750
0.000 0.500 0.500